No. 1
PBE Sm4HoSc4, optimized geometry; formation enthalpy at 0 K = 0.058 eV/atom; D(E_F) = 1.59 states/eV per atom; space-group type = I4/mmm (139); calculated volume = 262 Å³ per cell; M_tot = 0.00 Bohr magnetons per cell
1.0
-5.181 5.181 2.438
5.181 -5.181 2.438
5.181 5.181 -2.438
Sm Ho Sc
4 1 4
direct
0.000 0.327 0.327 Sm
0.000 0.673 0.673 Sm
0.327 0.000 0.327 Sm
0.673 0.000 0.673 Sm
0.000 0.000 0.000 Ho
0.334 0.334 0.669 Sc
0.334 0.666 0.000 Sc
0.666 0.334 0.000 Sc
0.666 0.666 0.331 Sc

***

No. 2
PBE Sm4HoSc2, optimized geometry; formation enthalpy at 0 K = 0.153 eV/atom; D(E_F) = 1.74 states/eV per atom; energy relative to the lowest polymorph listed for this composition = 0 kJ/mol of formula units; space-group type = P2_1/m (11); calculated volume = 433 Å³ per cell; M_tot = 0.00 Bohr magnetons per cell
1.0
5.516 0.000 0.000
0.000 6.842 0.000
-2.765 0.000 11.465
Sm Ho Sc
8 2 4
direct
0.073 0.250 0.142 Sm
0.218 0.750 0.434 Sm
0.355 0.502 0.711 Sm
0.355 0.998 0.711 Sm
0.645 0.002 0.289 Sm
0.645 0.498 0.289 Sm
0.782 0.250 0.566 Sm
0.927 0.750 0.858 Sm
0.074 0.750 0.149 Ho
0.926 0.250 0.851 Ho
0.210 0.250 0.421 Sc
0.498 0.750 0.000 Sc
0.502 0.250 0.000 Sc
0.790 0.750 0.579 Sc

***

No. 3
PBE SmHo3Sc6, optimized geometry; formation enthalpy at 0 K = 0.403 eV/atom; D(E_F) = 2.15 states/eV per atom; energy relative to the lowest polymorph listed for this composition = 238 kJ/mol of formula units; space-group type = R3 (146); calculated volume = 279 Å³ per cell; M_tot = 0.00 Bohr magnetons per cell
1.0
4.631 2.674 3.756
-4.631 2.674 3.756
0.000 -5.347 3.756
Sm Ho Sc
1 3 6
direct
0.000 0.000 0.000 Sm
0.251 0.251 0.251 Ho
0.500 0.500 0.500 Ho
0.749 0.749 0.749 Ho
0.169 0.830 0.499 Sc
0.332 0.666 0.999 Sc
0.499 0.169 0.830 Sc
0.666 0.999 0.332 Sc
0.830 0.499 0.169 Sc
0.999 0.332 0.666 Sc